Record 1
# Pm2Sm6Ho, optimized geometry, DFT PBE
# DFT formation energy   0.77 eV/f.u.
# Theoretical density   7.5 Mg/m³
# Distance to the lowest polymorph of the same formula   0.028 eV/atom
# Magnetic moment   0.00 μB/f.u.
data_Pm2Sm6Ho
_chemical_formula_sum 'Pm8 Sm24 Ho4'
_space_group_name_H-M_alt 'C 1 2/c 1'
_space_group_IT_number 15
_cell_length_a 16.916
_cell_length_b 11.772
_cell_length_c 6.089
_cell_angle_alpha 90.00
_cell_angle_beta 96.95
_cell_angle_gamma 90.00
loop_
_space_group_symop_operation_xyz
'x,y,z'
'-x,-y,-z'
'-x,y,-z+1/2'
'x,-y,z+1/2'
'x+1/2,y+1/2,z'
'-x+1/2,-y+1/2,-z'
'-x+1/2,y+1/2,-z+1/2'
'x+1/2,-y+1/2,z+1/2'
loop_
_atom_site_label
_atom_site_type_symbol
_atom_site_fract_x
_atom_site_fract_y
_atom_site_fract_z
_atom_site_occupancy
Pm1 Pm 0.165 0.154 0.083 1
Sm1 Sm 0.062 0.110 0.544 1
Sm2 Sm 0.103 0.391 0.785 1
Sm3 Sm 0.230 0.390 0.378 1
Ho1 Ho 0.000 0.352 0.250 1

=====

Record 2
# PaB3Ru, optimized geometry, DFT PBE
# DFT formation energy   -0.69 eV/f.u.
# Theoretical density   10.2 Mg/m³
# Magnetic moment   0.00 μB/f.u.
data_PaB3Ru
_chemical_formula_sum 'Pa2 B6 Ru2'
_space_group_name_H-M_alt 'I 4 m m'
_space_group_IT_number 107
_space_group_name_Hall 'I 4 -2'
_cell_length_a 3.587
_cell_length_b 3.587
_cell_length_c 9.189
_cell_angle_alpha 90.00
_cell_angle_beta 90.00
_cell_angle_gamma 90.00
loop_
_atom_site_label
_atom_site_type_symbol
_atom_site_fract_x
_atom_site_fract_y
_atom_site_fract_z
_atom_site_occupancy
Pa1 Pa 0.000 0.000 0.000 1
B1 B 0.000 0.000 0.396 1
B2 B 0.000 0.500 0.294 1
Ru1 Ru 0.000 0.000 0.656 1

=====

Record 3
# Rb2CdBiF6, optimized geometry, DFT PBE
# Theoretical density   4.8 Mg/m³
# Energy relative to the elements, uncorrected   -2313 meV per atom
# Magnetic moment   0.00 μB/f.u.
data_Rb2CdBiF6
_chemical_formula_sum 'Rb4 Cd2 Bi2 F12'
_space_group_name_H-M_alt 'P m m n'
_space_group_IT_number 59
_cell_length_a 6.679
_cell_length_b 9.423
_cell_length_c 6.735
_cell_angle_alpha 90.00
_cell_angle_beta 90.00
_cell_angle_gamma 90.00
loop_
_space_group_symop_operation_xyz
'x,y,z'
'-x,-y,-z'
'-x+1/2,-y+1/2,z'
'x+1/2,y+1/2,-z'
'x+1/2,-y,-z'
'-x+1/2,y,z'
'-x,y+1/2,-z'
'x,-y+1/2,z'
loop_
_atom_site_label
_atom_site_type_symbol
_atom_site_fract_x
_atom_site_fract_y
_atom_site_fract_z
_atom_site_occupancy
Rb1 Rb 0.250 0.000 0.231 1
Cd1 Cd 0.250 0.250 0.749 1
Bi1 Bi 0.250 0.750 0.746 1
F1 F 0.007 0.750 0.503 1
F2 F 0.007 0.750 0.988 1
F3 F 0.250 0.506 0.775 1

=====

Record 4
# AcEuBi, optimized geometry, DFT PBE
# DFT formation energy   -1.45 eV/f.u.
# Theoretical density   7.9 Mg/m³
# Distance to the lowest polymorph of the same formula   0.049 eV/atom
# Magnetic moment   8.01 μB/f.u.
data_AcEuBi
_chemical_formula_sum 'Ac4 Eu4 Bi4'
_space_group_name_H-M_alt 'F -4 3 m'
_space_group_IT_number 216
_space_group_name_Hall 'F -4 2 3'
_cell_length_a 7.923
_cell_length_b 7.923
_cell_length_c 7.923
_cell_angle_alpha 90.00
_cell_angle_beta 90.00
_cell_angle_gamma 90.00
loop_
_atom_site_label
_atom_site_type_symbol
_atom_site_fract_x
_atom_site_fract_y
_atom_site_fract_z
_atom_site_occupancy
Ac1 Ac 0.000 0.000 0.000 1
Eu1 Eu 0.000 0.000 0.500 1
Bi1 Bi 0.250 0.250 0.750 1

=====

Record 5
# CaSm4Tm, optimized geometry, DFT PBE
# DFT formation energy   0.32 eV/f.u.
# Theoretical density   6.6 Mg/m³
# Distance to the lowest polymorph of the same formula   0.000 eV/atom
# Magnetic moment   0.00 μB/f.u.
data_CaSm4Tm
_chemical_formula_sum 'Ca1 Sm4 Tm1'
_space_group_name_H-M_alt 'P 1 2/m 1'
_space_group_IT_number 10
_cell_length_a 3.603
_cell_length_b 5.151
_cell_length_c 11.003
_cell_angle_alpha 90.00
_cell_angle_beta 90.08
_cell_angle_gamma 90.00
loop_
_space_group_symop_operation_xyz
'x,y,z'
'-x,-y,-z'
'-x,y,-z'
'x,-y,z'
loop_
_atom_site_label
_atom_site_type_symbol
_atom_site_fract_x
_atom_site_fract_y
_atom_site_fract_z
_atom_site_occupancy
Ca1 Ca 0.000 0.000 0.000 1
Sm1 Sm 0.000 0.000 0.341 1
Sm2 Sm 0.500 0.500 0.183 1
Tm1 Tm 0.500 0.500 0.500 1

=====

Record 6
# NaScIn2Br, optimized geometry, DFT PBE
# Theoretical density   3.3 Mg/m³
# Energy relative to the elements, uncorrected   236 meV per atom
# Magnetic moment   0.76 μB/f.u.
data_NaScIn2Br
_chemical_formula_sum 'Na1 Sc1 In2 Br1'
_space_group_name_H-M_alt 'P 4/m m m'
_space_group_IT_number 123
_space_group_name_Hall '-P 4 2'
_cell_length_a 6.054
_cell_length_b 6.054
_cell_length_c 5.191
_cell_angle_alpha 90.00
_cell_angle_beta 90.00
_cell_angle_gamma 90.00
loop_
_atom_site_label
_atom_site_type_symbol
_atom_site_fract_x
_atom_site_fract_y
_atom_site_fract_z
_atom_site_occupancy
Na1 Na 0.000 0.000 0.000 1
Sc1 Sc 0.500 0.500 0.000 1
In1 In 0.000 0.500 0.500 1
Br1 Br 0.000 0.000 0.500 1

=====

Record 7
# Mo2PtSe, optimized geometry, DFT PBE
# Theoretical density   11.7 Mg/m³
# Energy relative to the elements, uncorrected   487 meV per atom
# Magnetic moment   1.75 μB/f.u.
data_Mo2PtSe
_chemical_formula_sum 'Mo8 Pt4 Se4'
_space_group_name_H-M_alt 'F -4 3 m'
_space_group_IT_number 216
_space_group_name_Hall 'F -4 2 3'
_cell_length_a 6.414
_cell_length_b 6.414
_cell_length_c 6.414
_cell_angle_alpha 90.00
_cell_angle_beta 90.00
_cell_angle_gamma 90.00
loop_
_atom_site_label
_atom_site_type_symbol
_atom_site_fract_x
_atom_site_fract_y
_atom_site_fract_z
_atom_site_occupancy
Mo1 Mo 0.000 0.000 0.000 1
Mo2 Mo 0.250 0.250 0.250 1
Pt1 Pt 0.250 0.250 0.750 1
Se1 Se 0.000 0.000 0.500 1

=====

Record 8
# MgZn5Pd6, optimized geometry, DFT PBE
# DFT formation energy   -7.16 eV/f.u.
# Theoretical density   9.3 Mg/m³
# Magnetic moment   0.00 μB/f.u.
data_MgZn5Pd6
_chemical_formula_sum 'Mg2 Zn10 Pd12'
_space_group_name_H-M_alt 'C m m m'
_space_group_IT_number 65
_space_group_name_Hall '-C 2 2'
_cell_length_a 4.160
_cell_length_b 12.449
_cell_length_c 6.796
_cell_angle_alpha 90.00
_cell_angle_beta 90.00
_cell_angle_gamma 90.00
loop_
_atom_site_label
_atom_site_type_symbol
_atom_site_fract_x
_atom_site_fract_y
_atom_site_fract_z
_atom_site_occupancy
Mg1 Mg 0.000 0.000 0.000 1
Zn1 Zn 0.000 0.000 0.500 1
Zn2 Zn 0.000 0.333 0.000 1
Zn3 Zn 0.000 0.334 0.500 1
Pd1 Pd 0.000 0.168 0.253 1
Pd2 Pd 0.000 0.500 0.255 1

=====

Record 9
# K2TeBr, optimized geometry, DFT PBE
# Theoretical density   3.2 Mg/m³
# Energy relative to the elements, uncorrected   -719 meV per atom
# Distance to the lowest polymorph of the same formula   0.461 eV/atom
# Magnetic moment   1.04 μB/f.u.
data_K2TeBr
_chemical_formula_sum 'K8 Te4 Br4'
_space_group_name_H-M_alt 'F -4 3 m'
_space_group_IT_number 216
_space_group_name_Hall 'F -4 2 3'
_cell_length_a 8.390
_cell_length_b 8.390
_cell_length_c 8.390
_cell_angle_alpha 90.00
_cell_angle_beta 90.00
_cell_angle_gamma 90.00
loop_
_atom_site_label
_atom_site_type_symbol
_atom_site_fract_x
_atom_site_fract_y
_atom_site_fract_z
_atom_site_occupancy
K1 K 0.000 0.000 0.000 1
K2 K 0.250 0.250 0.250 1
Te1 Te 0.250 0.250 0.750 1
Br1 Br 0.000 0.000 0.500 1

=====

Record 10
# CaNb, optimized geometry, DFT PBE
# DFT formation energy   1.92 eV/f.u.
# Theoretical density   3.0 Mg/m³
# Distance to the lowest polymorph of the same formula   0.684 eV/atom
# Magnetic moment   0.00 μB/f.u.
data_CaNb
_chemical_formula_sum 'Ca8 Nb8'
_space_group_name_H-M_alt 'I 4/m'
_space_group_IT_number 87
_space_group_name_Hall '-I 4'
_cell_length_a 13.603
_cell_length_b 13.603
_cell_length_c 3.235
_cell_angle_alpha 90.00
_cell_angle_beta 90.00
_cell_angle_gamma 90.00
loop_
_atom_site_label
_atom_site_type_symbol
_atom_site_fract_x
_atom_site_fract_y
_atom_site_fract_z
_atom_site_occupancy
Ca1 Ca 0.046 0.681 0.000 1
Nb1 Nb 0.180 0.239 0.000 1

=====

Record 11
# AcCd12Ag4, optimized geometry, DFT PBE
# DFT formation energy   1.47 eV/f.u.
# Theoretical density   7.3 Mg/m³
# Magnetic moment   0.00 μB/f.u.
data_AcCd12Ag4
_chemical_formula_sum 'Ac2 Cd24 Ag8'
_space_group_name_H-M_alt 'I m -3'
_space_group_IT_number 204
_space_group_name_Hall '-I 2 2 3'
_cell_length_a 9.694
_cell_length_b 9.694
_cell_length_c 9.694
_cell_angle_alpha 90.00
_cell_angle_beta 90.00
_cell_angle_gamma 90.00
loop_
_atom_site_label
_atom_site_type_symbol
_atom_site_fract_x
_atom_site_fract_y
_atom_site_fract_z
_atom_site_occupancy
Ac1 Ac 0.000 0.000 0.000 1
Cd1 Cd 0.000 0.155 0.351 1
Ag1 Ag 0.250 0.250 0.250 1

=====

Record 12
# CaNbO2, optimized geometry, DFT PBE
# Theoretical density   4.4 Mg/m³
# Energy relative to the elements, uncorrected   -2218 meV per atom
# Distance to the lowest polymorph of the same formula   0.000 eV/atom
# Magnetic moment   0.00 μB/f.u.
data_CaNbO2
_chemical_formula_sum 'Ca3 Nb3 O6'
_space_group_name_H-M_alt 'R -3 m'
_space_group_IT_number 166
_space_group_name_Hall '-R 3 2"'
_cell_length_a 3.3465
_cell_length_b 3.3465
_cell_length_c 19.0539
_cell_angle_alpha 90.00
_cell_angle_beta 90.00
_cell_angle_gamma 120.00
loop_
_atom_site_label
_atom_site_type_symbol
_atom_site_fract_x
_atom_site_fract_y
_atom_site_fract_z
_atom_site_occupancy
Ca1 Ca 0.0000 0.0000 0.0000 1
Nb1 Nb 0.0000 0.0000 0.5000 1
O1 O 0.0000 0.0000 0.3988 1

=====

Question: Which of these has the lowest theoretical density?
Answer: CaNb

=====

Question: magnetic moment of number 9 (K2TeBr)?
Answer: 1.04 μB/f.u.